No. 1
Here is a relaxed structure of MnBeOs2N from Alexandria via LeMat-Bulk. Energies are from GGA-PBE.

formation energy (no corrections)	1.21	eV per atom
total DFT energy (no corrections)	-0.276	Ha/atom
calculated volume	11.5	A^3/atom
SG	No. 123

abc: 4.4491 4.4491 2.9116
angles: 90.00 90.00 90.00
Sites, in units of the cell vectors:
Mn 0.0000 0.0000 0.0000
Be 0.5000 0.5000 0.5000
Os 0.0000 0.5000 0.5000
Os 0.5000 0.0000 0.5000
N 0.5000 0.5000 0.0000


No. 2
Here is a relaxed structure of Mn2BeOsN from Alexandria via LeMat-Bulk. Energies are from GGA-PBE.

formation energy (no corrections)	1.95	eV per atom
total DFT energy (no corrections)	-0.234	Ha/atom
calculated volume	18.8	A^3/atom
SG	No. 123

abc: 4.7354 4.7354 4.1922
angles: 90.00 90.00 90.00
Sites, in units of the cell vectors:
Mn 0.0000 0.5000 0.0000
Mn 0.5000 0.0000 0.0000
Be 0.0000 0.0000 0.5000
Os 0.0000 0.0000 0.0000
N 0.5000 0.5000 0.5000